Below is ZrNb3Cl9 after structural relaxation, with properties calculated at the GGA-PBE level.

Properties
The uncorrected formation energy is -14.43 eV/f.u. As for the space group: Cc, No. 9.

a = 9.1778 Å, b = 8.6913 Å, c = 12.0214 Å
α = 68.55°, β = 67.56°, γ = 58.13°
Closest atoms and distances in Å follow each position.
Fractional positions:
Cl 0.7741 0.1175 0.0564  1 Nb 2.41
Cl 0.0520 0.6175 0.5564  1 Nb 2.41
Cl 0.7994 0.3862 0.5191  2 Nb 2.50
Cl 0.1112 0.5931 0.1596  2 Nb 2.52-2.54, 1 Zr 2.67
Cl 0.2953 0.8862 0.0192  2 Nb 2.50
Cl 0.5571 0.6934 0.6987  2 Nb 2.67-2.72, 1 Zr 2.70
Cl 0.4711 0.1974 0.5791  1 Zr 2.39
Cl 0.4895 0.5045 0.2287  2 Nb 2.45-2.47
Cl 0.0509 0.1934 0.1987  2 Nb 2.67-2.72, 1 Zr 2.70
Cl 0.7773 0.0045 0.7287  2 Nb 2.45-2.47
Cl 0.3929 0.2963 0.9344  1 Nb 2.58, 1 Zr 2.61
Cl 0.3764 0.7963 0.4344  1 Nb 2.58, 1 Zr 2.61
Cl 0.2924 0.2307 0.3602  1 Zr 2.44
Cl 0.9734 0.4118 0.8663  1 Zr 2.45, 1 Nb 2.62
Cl 0.7484 0.9118 0.3664  1 Zr 2.45, 1 Nb 2.62
Cl 0.1166 0.7308 0.8603  1 Zr 2.44
Cl 0.1361 0.0931 0.6596  2 Nb 2.52-2.54, 1 Zr 2.67
Cl 0.7524 0.6974 0.0791  1 Zr 2.39
Nb 0.6237 0.3366 0.7347  4 Cl 2.47-2.72, 2 Nb 2.52-2.55
Nb 0.1794 0.6039 0.3416  3 Cl 2.41-2.54, 2 Nb 2.55-2.59
Nb 0.8777 0.4043 0.6899  5 Cl 2.50-2.75, 2 Nb 2.52-2.59
Nb 0.0281 0.9043 0.1899  5 Cl 2.50-2.75, 2 Nb 2.52-2.59
Nb 0.3050 0.8366 0.2347  4 Cl 2.47-2.72, 2 Nb 2.52-2.55
Nb 0.8751 0.1040 0.8416  3 Cl 2.41-2.54, 2 Nb 2.55-2.59
Zr 0.4580 0.9816 0.5091  5 Cl 2.39-2.67
Zr 0.0513 0.4816 0.0091  5 Cl 2.39-2.67

Below is Nd2Cl3 after structural relaxation, with properties calculated at the GGA-PBE level.

Properties
The uncorrected formation energy is -8.04 eV/f.u. As for the space group: R-3c, No. 167.

a = 6.4856 Å, b = 6.4856 Å, c = 8.5603 Å
α = 67.74°, β = 67.74°, γ = 60.00°
Closest atoms and distances in Å follow each position.
Fractional positions:
Cl 0.5823 0.9177 0.2500  4 Nd 2.88-2.91
Cl 0.7500 0.4177 0.7500  4 Nd 2.88-2.91
Cl 0.2500 0.5823 0.2500  4 Nd 2.88-2.91
Cl 0.9177 0.2500 0.2500  4 Nd 2.88-2.91
Cl 0.0823 0.7500 0.7500  4 Nd 2.88-2.91
Cl 0.4177 0.0823 0.7500  4 Nd 2.88-2.91
Nd 0.3326 0.3326 0.0023  6 Cl 2.88-2.91
Nd 0.1674 0.1674 0.4977  6 Cl 2.88-2.91
Nd 0.6674 0.6674 0.9977  6 Cl 2.88-2.91
Nd 0.8326 0.8326 0.5023  6 Cl 2.88-2.91